1.
Computed, not measured: P2RhClO at its PBEsol-relaxed geometry at the meta-GGA SCAN level of DFT.

* energy relative to the elements, uncorrected: 833 meV/atom
* crystal system: tetragonal
* polymorph energy (0 for the lowest one): 2.143 eV/f.u.
* symmetry: P4/mmm (123)

Unit cell a=4.4381 b=4.4381 c=4.8644 alpha=90.00 beta=90.00 gamma=90.00
Each line ends with the local moment (μB).
Element x y z (fractional)
1 P 0.5000 0.0000 0.0000  0.29
2 P 0.0000 0.5000 0.0000  0.29
3 O 0.5000 0.5000 0.5000  1.33
4 Rh 0.0000 0.0000 0.0000  0.14
5 Cl 0.0000 0.0000 0.5000  0.14

***

2.
Computed, not measured: SiP2ClO at its PBEsol-relaxed geometry at the meta-GGA SCAN level of DFT.

* energy relative to the elements, uncorrected: 1006 meV/atom
* crystal system: tetragonal
* polymorph energy (0 for the lowest one): 4.934 eV/f.u.
* symmetry: P4/mmm (123)

Unit cell a=4.3998 b=4.4779 c=4.4779 alpha=90.00 beta=90.00 gamma=90.00
Each line ends with the local moment (μB).
Element x y z (fractional)
1 P 0.0000 0.0000 0.5000  -0.33
2 P 0.0000 0.5000 0.0000  -0.33
3 Cl 0.5000 0.0000 0.0000  -0.15
4 O 0.5000 0.5000 0.5000  0.97
5 Si 0.0000 0.0000 0.0000  -0.01

***

3.
Computed, not measured: SiP2ClO at its PBEsol-relaxed geometry at the meta-GGA SCAN level of DFT.

* energy relative to the elements, uncorrected: 19 meV/atom
* crystal system: tetragonal
* polymorph energy (0 for the lowest one): 0.000 eV/f.u.
* symmetry: P4/mmm (123)

Unit cell a=3.2813 b=4.7824 c=4.7824 alpha=90.00 beta=90.00 gamma=90.00
Element x y z (fractional)
1 Si 0.0000 0.0000 0.0000
2 Cl 0.5000 0.5000 0.5000
3 O 0.5000 0.0000 0.0000
4 P 0.0000 0.0000 0.5000
5 P 0.0000 0.5000 0.0000

***

4.
Computed, not measured: SiPCl2O at its PBEsol-relaxed geometry at the meta-GGA SCAN level of DFT.

* energy relative to the elements, uncorrected: 558 meV/atom
* crystal system: tetragonal
* symmetry: P4/mmm (123)

Unit cell a=4.5132 b=4.5132 c=4.6602 alpha=90.00 beta=90.00 gamma=90.00
Each line ends with the local moment (μB).
Element x y z (fractional)
1 Cl 0.5000 0.0000 0.0000  0.04
2 Cl 0.0000 0.5000 0.0000  0.04
3 Si 0.0000 0.0000 0.0000  0.01
4 O 0.5000 0.5000 0.5000  1.23
5 P 0.0000 0.0000 0.5000  0.64

***

5.
Computed, not measured: TeP2ClO at its PBEsol-relaxed geometry at the meta-GGA SCAN level of DFT.

* energy relative to the elements, uncorrected: 705 meV/atom
* crystal system: tetragonal
* polymorph energy (0 for the lowest one): 1.146 eV/f.u.
* symmetry: P4/mmm (123)

Unit cell a=3.9314 b=5.1727 c=5.1727 alpha=90.00 beta=90.00 gamma=90.00
Each line ends with the local moment (μB).
Element x y z (fractional)
1 Cl 0.5000 0.5000 0.5000  0.12
2 O 0.5000 0.0000 0.0000  0.08
3 P 0.0000 0.0000 0.5000  0.40
4 P 0.0000 0.5000 0.0000  0.40
5 Te 0.0000 0.0000 0.0000  0.01

***

6.
Computed, not measured: TeP2ClO at its PBEsol-relaxed geometry at the meta-GGA SCAN level of DFT.

* energy relative to the elements, uncorrected: 476 meV/atom
* crystal system: tetragonal
* polymorph energy (0 for the lowest one): 0.000 eV/f.u.
* symmetry: P4/mmm (123)

Unit cell a=3.9483 b=3.9483 c=5.6686 alpha=90.00 beta=90.00 gamma=90.00
Element x y z (fractional)
1 P 0.0000 0.5000 0.0000
2 P 0.5000 0.0000 0.0000
3 O 0.0000 0.0000 0.0000
4 Te 0.5000 0.5000 0.5000
5 Cl 0.0000 0.0000 0.5000